Record 1
DFT (GGA-PBE) results for an optimized crystal structure of ScAuSe2.

```
data_ScAuSe2
_symmetry_space_group_name_H-M 'P 4 m m'
_symmetry_Int_Tables_number 99
_symmetry_space_group_name_Hall 'P 4 -2'
_cell_length_a 3.7661
_cell_length_b 3.7661
_cell_length_c 6.1819
_cell_angle_alpha 90.00
_cell_angle_beta 90.00
_cell_angle_gamma 90.00
loop_
_atom_site_label
_atom_site_fract_x
_atom_site_fract_y
_atom_site_fract_z
Sc1 0.0000 0.0000 0.0000
Au1 0.5000 0.5000 0.7026
Se1 0.0000 0.0000 0.5831
Se2 0.5000 0.5000 0.1333
```

Output
The energy is -5.05 eV/atom. The calculated volume is 21.92 Å³ per atom. The calculation puts the total magnetic moment at 0.0 μB per formula unit. The crystal system is tetragonal. The formation energy from raw total energies is -0.90 eV/atom.

Record 2
DFT (GGA-PBE) results for an optimized crystal structure of IrAuSe2.

```
data_IrAuSe2
_symmetry_space_group_name_H-M 'I 41/a m d'
_symmetry_Int_Tables_number 141
_cell_length_a 5.2078
_cell_length_b 5.2078
_cell_length_c 11.8070
_cell_angle_alpha 90.00
_cell_angle_beta 90.00
_cell_angle_gamma 90.00
loop_
_symmetry_equiv_pos_as_xyz
'x,y,z'
'-x,-y,-z'
'-y+1/4,x+3/4,z+1/4'
'y+1/4,-x+3/4,-z+1/4'
'-x+1/2,-y,z+1/2'
'x+1/2,y,-z+1/2'
'y+1/4,-x+1/4,z+3/4'
'-y+1/4,x+1/4,-z+3/4'
'x,-y,-z'
'-x,y,z'
'-y+1/4,-x+1/4,-z+3/4'
'y+1/4,x+1/4,z+3/4'
'-x+1/2,y,-z+1/2'
'x+1/2,-y,z+1/2'
'y+1/4,x+3/4,-z+1/4'
'-y+1/4,-x+3/4,z+1/4'
'x+1/2,y+1/2,z+1/2'
'-x+1/2,-y+1/2,-z+1/2'
'-y+3/4,x+1/4,z+3/4'
'y+3/4,-x+1/4,-z+3/4'
'-x,-y+1/2,z'
'x,y+1/2,-z'
'y+3/4,-x+3/4,z+1/4'
'-y+3/4,x+3/4,-z+1/4'
'x+1/2,-y+1/2,-z+1/2'
'-x+1/2,y+1/2,z+1/2'
'-y+3/4,-x+3/4,-z+1/4'
'y+3/4,x+3/4,z+1/4'
'-x,y+1/2,-z'
'x,-y+1/2,z'
'y+3/4,x+1/4,-z+3/4'
'-y+3/4,-x+1/4,z+3/4'
loop_
_atom_site_label
_atom_site_fract_x
_atom_site_fract_y
_atom_site_fract_z
Ir1 0.0000 0.2500 0.3750
Au1 0.0000 0.2500 0.8750
Se1 0.0000 0.2500 0.1634
```

Output
The energy is -4.65 eV/atom. The calculated volume is 20.01 Å³ per atom. The calculation puts the total magnetic moment at 0.0 μB per formula unit. The crystal system is tetragonal. The formation energy from raw total energies is 0.12 eV/atom.

Record 3
DFT (GGA-PBE) results for an optimized crystal structure of SnGeOF2.

```
data_SnGeOF2
_symmetry_space_group_name_H-M 'P 4/m m m'
_symmetry_Int_Tables_number 123
_symmetry_space_group_name_Hall '-P 4 2'
_cell_length_a 4.4735
_cell_length_b 4.4735
_cell_length_c 4.1457
_cell_angle_alpha 90.00
_cell_angle_beta 90.00
_cell_angle_gamma 90.00
loop_
_atom_site_label
_atom_site_fract_x
_atom_site_fract_y
_atom_site_fract_z
Sn1 0.0000 0.0000 0.0000
Ge1 0.5000 0.5000 0.5000
O1 0.0000 0.0000 0.5000
F1 0.0000 0.5000 0.0000
```

Output
The energy is -4.60 eV/atom. The calculated volume is 16.59 Å³ per atom. The calculation puts the energy above the most stable polymorph in this dataset at 17.1 kJ per mole of atoms. The calculation puts the total magnetic moment at 0.0 μB per formula unit. The crystal system is tetragonal. The formation energy from raw total energies is -1.14 eV/atom.

Record 4
DFT (GGA-PBE) results for an optimized crystal structure of BaTb2NpN4.

```
data_BaTb2NpN4
_symmetry_space_group_name_H-M 'C m c m'
_symmetry_Int_Tables_number 63
_symmetry_space_group_name_Hall '-C 2c 2'
_cell_length_a 3.5918
_cell_length_b 13.1161
_cell_length_c 12.5570
_cell_angle_alpha 90.00
_cell_angle_beta 90.00
_cell_angle_gamma 90.00
loop_
_atom_site_label
_atom_site_fract_x
_atom_site_fract_y
_atom_site_fract_z
Ba1 0.0000 0.0360 0.2500
Tb1 0.0000 0.3717 0.0337
Np1 0.0000 0.2301 0.7500
N1 0.0000 0.0000 0.0000
N2 0.0000 0.2421 0.5944
N3 0.0000 0.3762 0.2500
```

Output
The energy is -8.25 eV/atom. The calculated volume is 18.49 Å³ per atom. The calculation puts the total magnetic moment at 2.9 μB per formula unit. The crystal system is orthorhombic. The formation energy from raw total energies is -1.07 eV/atom.